(1)
VASP calculation (GGA-PBE) on PuCd2RhO6 after structural relaxation.

Cell: 5.5814 5.6753 8.0799 Å, 90.00 90.13 90.00°
Closest atoms and distances in Å follow each position.
Element x y z (fractional)
O: 0.8903 0.5572 0.2598  1 Rh 2.06, 1 Pu 2.21, 1 Cd 2.29
O: 0.1964 0.1860 0.0557  1 Rh 2.05, 1 Pu 2.14
O: 0.3183 0.6992 0.0594  1 Rh 2.04, 1 Pu 2.16, 1 Cd 2.29
O: 0.8183 0.8009 0.5594  1 Rh 2.04, 1 Pu 2.16, 1 Cd 2.29
Cd: 0.4938 0.4564 0.2504  4 O 2.29-2.36
O: 0.6097 0.0572 0.2402  1 Rh 2.06, 1 Pu 2.21, 1 Cd 2.29
Cd: 0.9938 0.0436 0.7504  4 O 2.29-2.36
Cd: 0.0062 0.9564 0.2496  4 O 2.29-2.36
O: 0.6817 0.3008 0.9406  1 Rh 2.04, 1 Pu 2.16, 1 Cd 2.29
O: 0.6964 0.3139 0.5557  1 Rh 2.05, 1 Pu 2.14
Pu: 0.5000 0.0000 0.5000  6 O 2.14-2.21
Rh: 0.5000 0.0000 0.0000  6 O 2.04-2.06
Rh: 0.0000 0.5000 0.5000  6 O 2.04-2.06
O: 0.1817 0.1991 0.4406  1 Rh 2.04, 1 Pu 2.16, 1 Cd 2.29
O: 0.8036 0.8140 0.9443  1 Rh 2.05, 1 Pu 2.14
O: 0.1097 0.4428 0.7402  1 Rh 2.06, 1 Pu 2.21, 1 Cd 2.29
O: 0.3903 0.9428 0.7598  1 Rh 2.06, 1 Pu 2.21, 1 Cd 2.29
O: 0.3036 0.6861 0.4443  1 Rh 2.05, 1 Pu 2.14
Cd: 0.5062 0.5436 0.7496  4 O 2.29-2.36
Pu: 0.0000 0.5000 0.0000  6 O 2.14-2.21

* formation energy (no corrections): -1.54 eV/atom
* magnetic moment: 2.999 μB per formula unit

(2)
VASP calculation (GGA-PBE) on PuCdSbO6 after structural relaxation.

Cell: 5.5489 5.5489 9.6167 Å, 90.00 90.00 120.00°
Closest atoms and distances in Å follow each position.
Element x y z (fractional)
O: 0.9828 0.6332 0.8635  1 Sb 2.03, 1 Pu 2.16
Cd: 0.0000 0.0000 0.0000  6 O 2.38
O: 0.6504 0.0172 0.8635  1 Sb 2.03, 1 Pu 2.16
O: 0.6504 0.6332 0.6365  1 Sb 2.03, 1 Pu 2.16
Sb: 0.3333 0.6667 0.2500  6 O 2.03
O: 0.3668 0.3496 0.8635  1 Sb 2.03, 1 Pu 2.16
Pu: 0.6667 0.3333 0.2500  6 O 2.16
Sb: 0.6667 0.3333 0.7500  6 O 2.03
O: 0.3496 0.3668 0.3635  1 Sb 2.03, 1 Pu 2.16
Cd: 0.0000 0.0000 0.5000  6 O 2.38
Pu: 0.3333 0.6667 0.7500  6 O 2.16
O: 0.3496 0.9828 0.1365  1 Sb 2.03, 1 Pu 2.16
O: 0.9828 0.3496 0.6365  1 Sb 2.03, 1 Pu 2.16
O: 0.0172 0.3668 0.1365  1 Sb 2.03, 1 Pu 2.16
O: 0.3668 0.0172 0.6365  1 Sb 2.03, 1 Pu 2.16
O: 0.6332 0.9828 0.3635  1 Sb 2.03, 1 Pu 2.16
O: 0.6332 0.6504 0.1365  1 Sb 2.03, 1 Pu 2.16
O: 0.0172 0.6504 0.3635  1 Sb 2.03, 1 Pu 2.16

* formation energy (no corrections): -1.77 eV/atom
* magnetic moment: 3.000 μB per formula unit

(3)
VASP calculation (GGA-PBE) on PuCd2SbO8 after structural relaxation.

Cell: 5.0524 5.0458 6.6426 Å, 90.00 90.00 93.37°
Closest atoms and distances in Å follow each position.
Element x y z (fractional)
Sb: 0.0000 0.0000 0.5000  6 O 1.92-2.11
Cd: 0.5000 0.5000 0.2596  6 O 2.22-2.37
O: 0.8229 0.1787 0.7501  1 Pu 2.11, 1 Sb 2.11
O: 0.7227 0.7239 0.0000  1 Pu 1.92
Cd: 0.5000 0.5000 0.7404  6 O 2.22-2.37
O: 0.8228 0.1787 0.2499  1 Pu 2.11, 1 Sb 2.11
Pu: 0.0000 0.0000 0.0000  6 O 1.92-2.11
O: 0.7215 0.7232 0.5000  1 Sb 1.92
O: 0.1771 0.8213 0.2499  1 Pu 2.11, 1 Sb 2.11
O: 0.1772 0.8213 0.7501  1 Pu 2.11, 1 Sb 2.11
O: 0.2785 0.2768 0.5000  1 Sb 1.92
O: 0.2773 0.2761 0.0000  1 Pu 1.92

* formation energy (no corrections): -1.54 eV/atom
* magnetic moment: 0.972 μB per formula unit

(4)
VASP calculation (GGA-PBE) on PuScCd2O6 after structural relaxation.

Cell: 5.6504 5.6504 5.9178 Å, 61.48 61.48 60.00°
Closest atoms and distances in Å follow each position.
Element x y z (fractional)
O: 0.5884 0.1816 0.2764  1 Pu 2.15, 1 Sc 2.17, 1 Cd 2.24
Cd: 0.0371 0.0372 0.8886  3 O 2.26
O: 0.1816 0.9536 0.2764  1 Pu 2.15, 1 Sc 2.17, 1 Cd 2.24
Sc: 0.8162 0.8162 0.5514  6 O 2.11-2.17
O: 0.4562 0.6839 0.7732  1 Sc 2.11, 1 Pu 2.17, 1 Cd 2.26
O: 0.9536 0.5884 0.2764  1 Pu 2.15, 1 Sc 2.17, 1 Cd 2.24
O: 0.0867 0.4562 0.7732  1 Sc 2.11, 1 Pu 2.17, 1 Cd 2.26
O: 0.6839 0.0868 0.7732  1 Sc 2.11, 1 Pu 2.17, 1 Cd 2.26
Cd: 0.5394 0.5393 0.3819  3 O 2.24
Pu: 0.3185 0.3185 0.0445  6 O 2.15-2.17

* formation energy (no corrections): -2.24 eV/atom
* magnetic moment: 3.000 μB per formula unit

(5)
VASP calculation (GGA-PBE) on PuScCdO6 after structural relaxation.

Cell: 5.5165 5.5165 9.5240 Å, 90.00 90.00 120.00°
Closest atoms and distances in Å follow each position.
Element x y z (fractional)
O: 0.9851 0.3507 0.1381  1 Pu 2.02, 1 Sc 2.12
O: 0.3507 0.9851 0.6381  1 Pu 2.02, 1 Sc 2.12
O: 0.3656 0.0149 0.1381  1 Pu 2.02, 1 Sc 2.12
Sc: 0.3333 0.6667 0.2500  6 O 2.12
O: 0.0149 0.6493 0.8619  1 Pu 2.02, 1 Sc 2.12
Pu: 0.3333 0.6667 0.7500  6 O 2.02
Cd: 0.0000 0.0000 0.5000  6 O 2.37
O: 0.6344 0.6493 0.6381  1 Pu 2.02, 1 Sc 2.12
Cd: 0.0000 0.0000 0.0000  6 O 2.37
O: 0.3507 0.3656 0.8619  1 Pu 2.02, 1 Sc 2.12
O: 0.6493 0.0149 0.3619  1 Pu 2.02, 1 Sc 2.12
O: 0.6344 0.9851 0.8619  1 Pu 2.02, 1 Sc 2.12
O: 0.6493 0.6344 0.1381  1 Pu 2.02, 1 Sc 2.12
Sc: 0.6667 0.3333 0.7500  6 O 2.12
Pu: 0.6667 0.3333 0.2500  6 O 2.02
O: 0.3656 0.3507 0.3619  1 Pu 2.02, 1 Sc 2.12
O: 0.0149 0.3656 0.6381  1 Pu 2.02, 1 Sc 2.12
O: 0.9851 0.6344 0.3619  1 Pu 2.02, 1 Sc 2.12

* formation energy (no corrections): -2.34 eV/atom
* magnetic moment: 1.000 μB per formula unit

(6)
VASP calculation (GGA-PBE) on PuCdSeO6 after structural relaxation.

Cell: 5.4834 5.4834 9.6007 Å, 90.00 90.00 120.00°
Closest atoms and distances in Å follow each position.
Element x y z (fractional)
O: 0.6445 0.0070 0.8618  1 Se 2.04, 1 Pu 2.09
Pu: 0.6667 0.3333 0.2500  6 O 2.09
Cd: 0.0000 0.0000 0.0000  6 O 2.37
O: 0.9930 0.6375 0.8618  1 Se 2.04, 1 Pu 2.09
O: 0.3625 0.3555 0.8618  1 Se 2.04, 1 Pu 2.09
O: 0.0070 0.6445 0.3618  1 Se 2.04, 1 Pu 2.09
Cd: 0.0000 0.0000 0.5000  6 O 2.37
O: 0.6375 0.6445 0.1382  1 Se 2.04, 1 Pu 2.09
Se: 0.6667 0.3333 0.7500  6 O 2.04
O: 0.9930 0.3555 0.6382  1 Se 2.04, 1 Pu 2.09
Se: 0.3333 0.6667 0.2500  6 O 2.04
O: 0.3555 0.9930 0.1382  1 Se 2.04, 1 Pu 2.09
Pu: 0.3333 0.6667 0.7500  6 O 2.09
O: 0.3555 0.3625 0.3618  1 Se 2.04, 1 Pu 2.09
O: 0.6375 0.9930 0.3618  1 Se 2.04, 1 Pu 2.09
O: 0.3625 0.0070 0.6382  1 Se 2.04, 1 Pu 2.09
O: 0.0070 0.3625 0.1382  1 Se 2.04, 1 Pu 2.09
O: 0.6445 0.6375 0.6382  1 Se 2.04, 1 Pu 2.09

* formation energy (no corrections): -1.46 eV/atom
* magnetic moment: 2.000 μB per formula unit